Entry 1:
# Pa2Pt3Rh3 (GGA-PBE, relaxed)
data_Pa2Pt3Rh3
_chemical_formula_sum 'Pa2 Pt3 Rh3'
_symmetry_space_group_name_H-M 'P m m m'
_symmetry_Int_Tables_number 47
_symmetry_space_group_name_Hall '-P 2 2'
_cell_length_a 4.008
_cell_length_b 4.113
_cell_length_c 8.421
_cell_angle_alpha 90.00
_cell_angle_beta 90.00
_cell_angle_gamma 90.00
loop_
_atom_site_label
_atom_site_fract_x
_atom_site_fract_y
_atom_site_fract_z
Pa1 0.000 0.000 0.244
Pt1 0.000 0.500 0.000
Pt2 0.000 0.500 0.500
Pt3 0.500 0.000 0.500
Rh1 0.500 0.000 0.000
Rh2 0.500 0.500 0.251
# E_form in meV/atom: -1044

=====

Entry 2:
# CoAuSe (GGA-PBE, relaxed)
data_CoAuSe
_chemical_formula_sum 'Co4 Au4 Se4'
_symmetry_space_group_name_H-M 'A m m 2'
_symmetry_Int_Tables_number 38
_symmetry_space_group_name_Hall 'A 2 -2'
_cell_length_a 11.985
_cell_length_b 3.157
_cell_length_c 5.488
_cell_angle_alpha 90.00
_cell_angle_beta 90.00
_cell_angle_gamma 90.00
loop_
_atom_site_label
_atom_site_fract_x
_atom_site_fract_y
_atom_site_fract_z
Co1 0.000 0.000 0.000
Co2 0.500 0.000 0.040
Au1 0.159 0.000 0.334
Se1 0.372 0.000 0.709
# ΔE to the lowest computed polymorph in eV/f.u.: 0.61

=====

Entry 3:
# Sm8Co3CCl4 (GGA-PBE, relaxed)
data_Sm8Co3CCl4
_chemical_formula_sum 'Sm24 Co9 C3 Cl12'
_symmetry_space_group_name_H-M 'R -3 m'
_symmetry_Int_Tables_number 166
_symmetry_space_group_name_Hall '-R 3 2"'
_cell_length_a 7.7775
_cell_length_b 7.7775
_cell_length_c 22.0729
_cell_angle_alpha 90.00
_cell_angle_beta 90.00
_cell_angle_gamma 120.00
loop_
_atom_site_label
_atom_site_fract_x
_atom_site_fract_y
_atom_site_fract_z
Sm1 0.0000 0.0000 0.2354
Sm2 0.0116 0.5058 0.2304
Co1 0.0000 0.5000 0.5000
C1 0.0000 0.0000 0.5000
Cl1 0.0000 0.0000 0.0000
Cl2 0.0000 0.5000 0.0000
# Energy in eV/atom: -5.577

=====

Entry 4:
# SmYNiRh (GGA-PBE, relaxed)
data_SmYNiRh
_chemical_formula_sum 'Sm2 Y2 Ni2 Rh2'
_symmetry_space_group_name_H-M 'A m m 2'
_symmetry_Int_Tables_number 38
_symmetry_space_group_name_Hall 'A 2 -2'
_cell_length_a 4.136
_cell_length_b 3.878
_cell_length_c 10.713
_cell_angle_alpha 90.00
_cell_angle_beta 90.00
_cell_angle_gamma 90.00
loop_
_atom_site_label
_atom_site_fract_x
_atom_site_fract_y
_atom_site_fract_z
Sm1 0.000 0.000 0.000
Y1 0.500 0.000 0.718
Ni1 0.500 0.000 0.435
Rh1 0.000 0.000 0.280
# E_form in meV/atom: -594

=====

Entry 5:
# HoPuCo4 (GGA-PBE, relaxed)
data_HoPuCo4
_chemical_formula_sum 'Ho4 Pu4 Co16'
_symmetry_space_group_name_H-M 'F -4 3 m'
_symmetry_Int_Tables_number 216
_symmetry_space_group_name_Hall 'F -4 2 3'
_cell_length_a 7.119
_cell_length_b 7.119
_cell_length_c 7.119
_cell_angle_alpha 90.00
_cell_angle_beta 90.00
_cell_angle_gamma 90.00
loop_
_atom_site_label
_atom_site_fract_x
_atom_site_fract_y
_atom_site_fract_z
Ho1 0.000 0.000 0.000
Pu1 0.250 0.250 0.750
Co1 0.125 0.125 0.375
# E_form in meV/atom: -189

=====

Entry 6:
# Hf3InFe (GGA-PBE, relaxed)
data_Hf3InFe
_chemical_formula_sum 'Hf6 In2 Fe2'
_symmetry_space_group_name_H-M 'P 1 21/m 1'
_symmetry_Int_Tables_number 11
_symmetry_space_group_name_Hall '-P 2yb'
_cell_length_a 8.065
_cell_length_b 3.435
_cell_length_c 8.076
_cell_angle_alpha 90.00
_cell_angle_beta 114.58
_cell_angle_gamma 90.00
loop_
_atom_site_label
_atom_site_fract_x
_atom_site_fract_y
_atom_site_fract_z
Hf1 0.065 0.250 0.319
Hf2 0.295 0.250 0.984
Hf3 0.390 0.750 0.336
In1 0.301 0.750 0.671
Fe1 0.088 0.750 0.070
# ΔE to the lowest computed polymorph in eV/f.u.: 0.00
# E_form in meV/atom: -119

=====

Entry 7:
# Bi2H2Ru (GGA-PBE, relaxed)
data_Bi2H2Ru
_chemical_formula_sum 'Bi4 H4 Ru2'
_symmetry_space_group_name_H-M 'P 4/m b m'
_symmetry_Int_Tables_number 127
_symmetry_space_group_name_Hall '-P 4 2ab'
_cell_length_a 7.580
_cell_length_b 7.580
_cell_length_c 3.218
_cell_angle_alpha 90.00
_cell_angle_beta 90.00
_cell_angle_gamma 90.00
loop_
_atom_site_label
_atom_site_fract_x
_atom_site_fract_y
_atom_site_fract_z
Bi1 0.245 0.255 0.000
H1 0.036 0.464 0.500
Ru1 0.000 0.000 0.000
# Energy in eV/atom: -4.236

=====

Entry 8:
# TaCl (GGA-PBE, relaxed)
data_TaCl
_chemical_formula_sum 'Ta2 Cl2'
_symmetry_space_group_name_H-M 'C m m m'
_symmetry_Int_Tables_number 65
_symmetry_space_group_name_Hall '-C 2 2'
_cell_length_a 2.874
_cell_length_b 5.650
_cell_length_c 4.449
_cell_angle_alpha 90.00
_cell_angle_beta 90.00
_cell_angle_gamma 90.00
loop_
_atom_site_label
_atom_site_fract_x
_atom_site_fract_y
_atom_site_fract_z
Ta1 0.000 0.000 0.000
Cl1 0.000 0.500 0.500
# Energy in eV/atom: -6.555